[1]
Compound: LaThNiRu
Source: Alexandria via LeMat-Bulk
Functional: PBE
Structure: relaxed

Values from the calculation:
Final energy, eV/atom: -7.113
Formation energy, eV/f.u.: -1.05
Density, Mg/m³: 9.951
Crystal system: cubic

```
data_LaThNiRu
_chemical_formula_sum 'La4 Th4 Ni4 Ru4'
_space_group_name_H-M_alt 'F -4 3 m'
_space_group_IT_number 216
_space_group_name_Hall 'F -4 2 3'
_cell_length_a 7.076
_cell_length_b 7.076
_cell_length_c 7.076
_cell_angle_alpha 90.00
_cell_angle_beta 90.00
_cell_angle_gamma 90.00
loop_
_atom_site_label
_atom_site_type_symbol
_atom_site_fract_x
_atom_site_fract_y
_atom_site_fract_z
La1 La 0.000 0.000 0.000
Th1 Th 0.000 0.000 0.500
Ni1 Ni 0.250 0.250 0.250
Ru1 Ru 0.250 0.250 0.750
```



[2]
Compound: CsCaWI2
Source: Alexandria via LeMat-Bulk
Functional: PBE
Structure: relaxed

Values from the calculation:
E_form (uncorrected), eV/atom: 0.598
Final energy, eV/atom: -3.184
Density, Mg/m³: 2.092
Crystal system: tetragonal

```
data_CsCaWI2
_chemical_formula_sum 'Cs1 Ca1 W1 I2'
_space_group_name_H-M_alt 'P 4/m m m'
_space_group_IT_number 123
_space_group_name_Hall '-P 4 2'
_cell_length_a 5.942
_cell_length_b 5.942
_cell_length_c 13.727
_cell_angle_alpha 90.00
_cell_angle_beta 90.00
_cell_angle_gamma 90.00
loop_
_atom_site_label
_atom_site_type_symbol
_atom_site_fract_x
_atom_site_fract_y
_atom_site_fract_z
Cs1 Cs 0.000 0.000 0.000
Ca1 Ca 0.000 0.000 0.500
W1 W 0.500 0.500 0.000
I1 I 0.000 0.500 0.500
```



[3]
Compound: CsAlAg2Hg
Source: Alexandria via LeMat-Bulk
Functional: PBE
Structure: relaxed

Values from the calculation:
Final energy, eV/atom: -2.080
Formation energy, eV/f.u.: 0.20
Density, Mg/m³: 6.259
Crystal system: tetragonal

```
data_CsAlAg2Hg
_chemical_formula_sum 'Cs1 Al1 Ag2 Hg1'
_space_group_name_H-M_alt 'P 4/m m m'
_space_group_IT_number 123
_space_group_name_Hall '-P 4 2'
_cell_length_a 5.275
_cell_length_b 5.275
_cell_length_c 5.493
_cell_angle_alpha 90.00
_cell_angle_beta 90.00
_cell_angle_gamma 90.00
loop_
_atom_site_label
_atom_site_type_symbol
_atom_site_fract_x
_atom_site_fract_y
_atom_site_fract_z
Cs1 Cs 0.000 0.000 0.000
Al1 Al 0.500 0.500 0.500
Ag1 Ag 0.000 0.500 0.500
Hg1 Hg 0.500 0.500 0.000
```



[4]
Compound: MgNi3H
Source: Alexandria via LeMat-Bulk
Functional: PBE
Structure: relaxed

Values from the calculation:
Final energy, eV/atom: -4.113
Density, Mg/m³: 4.753
Crystal system: orthorhombic
Relative energy among the computed polymorphs, meV per atom: 500

```
data_MgNi3H
_chemical_formula_sum 'Mg4 Ni12 H4'
_space_group_name_H-M_alt 'C m c m'
_space_group_IT_number 63
_space_group_name_Hall '-C 2c 2'
_cell_length_a 4.700
_cell_length_b 12.827
_cell_length_c 4.668
_cell_angle_alpha 90.00
_cell_angle_beta 90.00
_cell_angle_gamma 90.00
loop_
_atom_site_label
_atom_site_type_symbol
_atom_site_fract_x
_atom_site_fract_y
_atom_site_fract_z
Mg1 Mg 0.000 0.185 0.250
Ni1 Ni 0.000 0.000 0.000
Ni2 Ni 0.248 0.368 0.250
H1 H 0.000 0.452 0.250
```



[5]
Compound: Pa5Bi2C2
Source: Alexandria via LeMat-Bulk
Functional: PBE
Structure: relaxed

Values from the calculation:
Final energy, eV/atom: -8.295
Formation energy, eV/f.u.: -0.96
Density, Mg/m³: 12.299
Crystal system: tetragonal

```
data_Pa5Bi2C2
_chemical_formula_sum 'Pa5 Bi2 C2'
_space_group_name_H-M_alt 'P 4/m m m'
_space_group_IT_number 123
_space_group_name_Hall '-P 4 2'
_cell_length_a 4.756
_cell_length_b 4.756
_cell_length_c 9.534
_cell_angle_alpha 90.00
_cell_angle_beta 90.00
_cell_angle_gamma 90.00
loop_
_atom_site_label
_atom_site_type_symbol
_atom_site_fract_x
_atom_site_fract_y
_atom_site_fract_z
Pa1 Pa 0.000 0.000 0.000
Pa2 Pa 0.000 0.500 0.253
Bi1 Bi 0.500 0.500 0.000
Bi2 Bi 0.500 0.500 0.500
C1 C 0.000 0.000 0.263
```



[6]
Compound: RbNpPbI6
Source: Alexandria via LeMat-Bulk
Functional: PBE
Structure: relaxed

Values from the calculation:
E_form (uncorrected), eV/atom: -0.942
Final energy, eV/atom: -3.933
Density, Mg/m³: 4.548
Crystal system: trigonal

```
data_RbNpPbI6
_chemical_formula_sum 'Rb2 Np2 Pb2 I12'
_space_group_name_H-M_alt 'P -3 1 c'
_space_group_IT_number 163
_space_group_name_Hall '-P 3 2c'
_cell_length_a 8.1976
_cell_length_b 8.1976
_cell_length_c 16.2001
_cell_angle_alpha 90.00
_cell_angle_beta 90.00
_cell_angle_gamma 120.00
loop_
_atom_site_label
_atom_site_type_symbol
_atom_site_fract_x
_atom_site_fract_y
_atom_site_fract_z
Rb1 Rb 0.0000 0.0000 0.0000
Np1 Np 0.3333 0.6667 0.2500
Pb1 Pb 0.3333 0.6667 0.7500
I1 I 0.0131 0.3766 0.1353
```



[7]
Compound: GdInPb
Source: Alexandria via LeMat-Bulk
Functional: PBE
Structure: relaxed

Values from the calculation:
Final energy, eV/atom: -7.134
Formation energy, eV/f.u.: -0.87
Density, Mg/m³: 9.378
Crystal system: trigonal
Relative energy among the computed polymorphs, meV per atom: 0

```
data_GdInPb
_chemical_formula_sum 'Gd1 In1 Pb1'
_space_group_name_H-M_alt 'P 3 m 1'
_space_group_IT_number 156
_cell_length_a 5.2306
_cell_length_b 5.2306
_cell_length_c 3.5816
_cell_angle_alpha 90.00
_cell_angle_beta 90.00
_cell_angle_gamma 120.00
loop_
_space_group_symop_operation_xyz
'x,y,z'
'-y,x-y,z'
'-x+y,-x,z'
'-y,-x,z'
'-x+y,y,z'
'x,x-y,z'
loop_
_atom_site_label
_atom_site_type_symbol
_atom_site_fract_x
_atom_site_fract_y
_atom_site_fract_z
Gd1 Gd 0.0000 0.0000 0.0000
In1 In 0.3333 0.6667 0.3950
Pb1 Pb 0.6667 0.3333 0.6000
```



[8]
Compound: Y4Tl3
Source: Alexandria via LeMat-Bulk
Functional: PBE
Structure: relaxed

Values from the calculation:
Final energy, eV/atom: -4.871
Formation energy, eV/f.u.: -1.14
Density, Mg/m³: 8.080
Crystal system: hexagonal
Relative energy among the computed polymorphs, meV per atom: 168

```
data_Y4Tl3
_chemical_formula_sum 'Y4 Tl3'
_space_group_name_H-M_alt 'P 6/m m m'
_space_group_IT_number 191
_space_group_name_Hall '-P 6 2'
_cell_length_a 6.2098
_cell_length_b 6.2098
_cell_length_c 5.9617
_cell_angle_alpha 90.00
_cell_angle_beta 90.00
_cell_angle_gamma 120.00
loop_
_atom_site_label
_atom_site_type_symbol
_atom_site_fract_x
_atom_site_fract_y
_atom_site_fract_z
Y1 Y 0.0000 0.0000 0.2434
Y2 Y 0.3333 0.6667 0.5000
Tl1 Tl 0.0000 0.5000 0.0000
```



[9]
Compound: La2Sm6DyY
Source: Alexandria via LeMat-Bulk
Functional: PBE
Structure: relaxed

Values from the calculation:
Final energy, eV/atom: -4.808
Formation energy, eV/f.u.: 1.15
Density, Mg/m³: 6.917
Crystal system: monoclinic

```
data_La2Sm6DyY
_chemical_formula_sum 'La8 Sm24 Dy4 Y4'
_space_group_name_H-M_alt 'C 1 2/c 1'
_space_group_IT_number 15
_cell_length_a 9.120
_cell_length_b 15.287
_cell_length_c 10.004
_cell_angle_alpha 90.00
_cell_angle_beta 99.78
_cell_angle_gamma 90.00
loop_
_space_group_symop_operation_xyz
'x,y,z'
'-x,-y,-z'
'-x,y,-z+1/2'
'x,-y,z+1/2'
'x+1/2,y+1/2,z'
'-x+1/2,-y+1/2,-z'
'-x+1/2,y+1/2,-z+1/2'
'x+1/2,-y+1/2,z+1/2'
loop_
_atom_site_label
_atom_site_type_symbol
_atom_site_fract_x
_atom_site_fract_y
_atom_site_fract_z
La1 La 0.245 0.052 0.040
Sm1 Sm 0.066 0.191 0.444
Sm2 Sm 0.105 0.397 0.621
Sm3 Sm 0.199 0.220 0.810
Dy1 Dy 0.000 0.405 0.250
Y1 Y 0.000 0.014 0.750
```



[10]
Compound: TiHgSb2Te
Source: Alexandria via LeMat-Bulk
Functional: PBE
Structure: relaxed

Values from the calculation:
E_form (uncorrected), eV/atom: 1.072
Final energy, eV/atom: -2.845
Density, Mg/m³: 6.224
Crystal system: tetragonal
Relative energy among the computed polymorphs, meV per atom: 1013

```
data_TiHgSb2Te
_chemical_formula_sum 'Ti1 Hg1 Sb2 Te1'
_space_group_name_H-M_alt 'P 4/m m m'
_space_group_IT_number 123
_space_group_name_Hall '-P 4 2'
_cell_length_a 5.450
_cell_length_b 5.450
_cell_length_c 5.565
_cell_angle_alpha 90.00
_cell_angle_beta 90.00
_cell_angle_gamma 90.00
loop_
_atom_site_label
_atom_site_type_symbol
_atom_site_fract_x
_atom_site_fract_y
_atom_site_fract_z
Ti1 Ti 0.000 0.000 0.000
Hg1 Hg 0.500 0.500 0.500
Sb1 Sb 0.000 0.500 0.500
Te1 Te 0.500 0.500 0.000
```



[11]
Compound: Ac2AlHg5
Source: Alexandria via LeMat-Bulk
Functional: PBE
Structure: relaxed

Values from the calculation:
Final energy, eV/atom: -1.983
Formation energy, eV/f.u.: -2.39
Density, Mg/m³: 10.797
Crystal system: triclinic

```
data_Ac2AlHg5
_chemical_formula_sum 'Ac2 Al1 Hg5'
_space_group_name_H-M_alt 'P 1'
_space_group_IT_number 1
_cell_length_a 6.785
_cell_length_b 6.786
_cell_length_c 6.812
_cell_angle_alpha 118.03
_cell_angle_beta 118.36
_cell_angle_gamma 92.78
loop_
_space_group_symop_operation_xyz
'x,y,z'
loop_
_atom_site_label
_atom_site_type_symbol
_atom_site_fract_x
_atom_site_fract_y
_atom_site_fract_z
Ac1 Ac 0.000 0.000 0.000
Ac2 Ac 0.499 0.386 0.891
Al1 Al 0.505 0.903 0.401
Hg1 Hg 0.044 0.497 0.987
Hg2 Hg 0.479 0.926 0.967
Hg3 Hg 0.513 0.494 0.456
Hg4 Hg 0.963 0.930 0.451
Hg5 Hg 0.992 0.471 0.483
```



[12]
Compound: AcBrN
Source: Alexandria via LeMat-Bulk
Functional: PBE
Structure: relaxed

Values from the calculation:
E_form (uncorrected), eV/atom: -1.399
Final energy, eV/atom: -6.102
Density, Mg/m³: 5.970
Crystal system: monoclinic
Relative energy among the computed polymorphs, meV per atom: 52

```
data_AcBrN
_chemical_formula_sum 'Ac4 Br4 N4'
_space_group_name_H-M_alt 'C 1 2/m 1'
_space_group_IT_number 12
_cell_length_a 6.833
_cell_length_b 4.888
_cell_length_c 10.693
_cell_angle_alpha 90.00
_cell_angle_beta 91.42
_cell_angle_gamma 90.00
loop_
_space_group_symop_operation_xyz
'x,y,z'
'-x,-y,-z'
'-x,y,-z'
'x,-y,z'
'x+1/2,y+1/2,z'
'-x+1/2,-y+1/2,-z'
'-x+1/2,y+1/2,-z'
'x+1/2,-y+1/2,z'
loop_
_atom_site_label
_atom_site_type_symbol
_atom_site_fract_x
_atom_site_fract_y
_atom_site_fract_z
Ac1 Ac 0.202 0.000 0.364
Br1 Br 0.189 0.000 0.816
N1 N 0.000 0.342 0.500
```